Run w
First-principles (PBE) data for Er2InHg3 after structural relaxation, as listed in Alexandria.

Unit cell a=12.6489 b=12.6489 c=12.6489 alpha=163.78 beta=163.72 gamma=23.06
With the nearest neighbours (Å) after each atom.
Fractional positions:
Er 0.0000 0.0000 0.0000  4 Hg 3.15, 4 In 3.24
Er 0.7478 0.2478 0.5000  8 Hg 3.15-3.16
In 0.4184 0.4184 0.0000  2 Hg 2.96, 4 Er 3.24
Hg 0.1713 0.6713 0.5000  2 Hg 2.97, 4 Er 3.16
Hg 0.3234 0.8234 0.5000  2 In 2.96, 4 Er 3.15
Hg 0.5758 0.5758 0.0000  2 Hg 2.97, 4 Er 3.15



Run x
First-principles (PBE) data for Er2InHg3 after structural relaxation, as listed in Alexandria.

Unit cell a=9.8670 b=9.1945 c=6.0363 alpha=77.72 beta=65.58 gamma=36.71
With the nearest neighbours (Å) after each atom.
Fractional positions:
Er 0.2466 0.7534 0.7534  10 Hg 3.30-3.34, 2 In 3.34, 2 Er 3.39-3.48
Er 0.2500 0.2500 0.2500  8 Hg 3.32-3.34, 4 In 3.33, 2 Er 3.44
Er 0.7500 0.7500 0.7500  8 Hg 3.32-3.34, 4 In 3.33, 2 Er 3.44
Er 0.7534 0.2466 0.2466  10 Hg 3.30-3.34, 2 In 3.34, 2 Er 3.39-3.48
In 0.3327 0.3327 0.6673  3 Hg 2.84-2.85
In 0.6673 0.6673 0.3327  3 Hg 2.84-2.85
Hg 0.1663 0.1663 0.8337  1 In 2.84, 2 Hg 2.87
Hg 0.1683 0.6648 0.3352  2 Hg 2.85-2.87, 1 In 2.85
Hg 0.3352 0.8317 0.1683  2 Hg 2.85-2.87, 1 In 2.85
Hg 0.6648 0.1683 0.8317  2 Hg 2.85-2.87, 1 In 2.85
Hg 0.8317 0.3352 0.6648  2 Hg 2.85-2.87, 1 In 2.85
Hg 0.8337 0.8337 0.1663  1 In 2.84, 2 Hg 2.87



Which one sits at the top of the stability order? run x does.



Run w
First-principles (PBE) data for Er2InHg6 after structural relaxation, as listed in Alexandria.

Unit cell a=6.6803 b=6.6803 c=5.7611 alpha=90.15 beta=90.15 gamma=60.10
With the nearest neighbours (Å) after each atom.
Fractional positions:
Er 0.1671 0.1671 0.3156  12 Hg 3.34-3.44
Er 0.8329 0.8329 0.6844  12 Hg 3.34-3.44
In 0.5000 0.5000 0.5000  6 Hg 2.82
Hg 0.1292 0.6857 0.1813  1 In 2.82, 4 Hg 2.97-3.00
Hg 0.3143 0.8708 0.8187  1 In 2.82, 4 Hg 2.97-3.00
Hg 0.3148 0.3148 0.8182  1 In 2.82, 4 Hg 2.97-3.00
Hg 0.6852 0.6852 0.1818  1 In 2.82, 4 Hg 2.97-3.00
Hg 0.6857 0.1292 0.1813  1 In 2.82, 4 Hg 2.97-3.00
Hg 0.8708 0.3143 0.8187  1 In 2.82, 4 Hg 2.97-3.00



Run x
First-principles (PBE) data for Er2InHg6 after structural relaxation, as listed in Alexandria.

Unit cell a=5.1515 b=5.1515 c=9.4169 alpha=90.00 beta=90.00 gamma=120.00
With the nearest neighbours (Å) after each atom.
Fractional positions:
Er 0.3333 0.6667 0.2195  8 Hg 3.14-3.20
Er 0.6667 0.3333 0.7805  8 Hg 3.14-3.20
In 0.0000 0.0000 0.0000  8 Hg 3.15-3.16
Hg 0.0000 0.0000 0.3349  4 Hg 3.11-3.14, 1 In 3.15, 3 Er 3.17
Hg 0.0000 0.0000 0.6651  4 Hg 3.11-3.14, 1 In 3.15, 3 Er 3.17
Hg 0.3333 0.6667 0.5592  7 Hg 3.08-3.18, 1 Er 3.20
Hg 0.3333 0.6667 0.8865  1 Hg 3.08, 4 Er 3.14, 3 In 3.16
Hg 0.6667 0.3333 0.1135  1 Hg 3.08, 4 Er 3.14, 3 In 3.16
Hg 0.6667 0.3333 0.4408  7 Hg 3.08-3.18, 1 Er 3.20



Which one sits at the top of the stability order? run x does.



Run w
First-principles (PBE) data for ErIn2Hg after structural relaxation, as listed in Alexandria.

Unit cell a=3.6640 b=3.6640 c=7.5752 alpha=90.00 beta=90.00 gamma=90.00
With the nearest neighbours (Å) after each atom.
Fractional positions:
Er 0.0000 0.0000 0.0000  8 In 3.27
In 0.5000 0.5000 0.2632  4 Hg 3.15, 4 Er 3.27
In 0.5000 0.5000 0.7368  4 Hg 3.15, 4 Er 3.27
Hg 0.0000 0.0000 0.5000  8 In 3.15



Run x
First-principles (PBE) data for ErIn2Hg after structural relaxation, as listed in Alexandria.

Unit cell a=5.9167 b=5.9167 c=5.9167 alpha=47.49 beta=47.49 gamma=47.49
With the nearest neighbours (Å) after each atom.
Fractional positions:
Er 0.0000 0.0000 0.0000  6 In 3.15
In 0.2351 0.2351 0.2351  3 Hg 2.95, 3 Er 3.15
In 0.7649 0.7649 0.7649  3 Hg 2.95, 3 Er 3.15
Hg 0.5000 0.5000 0.5000  6 In 2.95



Run y
First-principles (PBE) data for ErIn2Hg after structural relaxation, as listed in Alexandria.

Unit cell a=4.5883 b=4.5883 c=4.5771 alpha=90.00 beta=90.00 gamma=90.00
With the nearest neighbours (Å) after each atom.
Fractional positions:
Er 0.0000 0.0000 0.0000  8 In 3.24, 4 Hg 3.24
In 0.0000 0.5000 0.5000  4 Hg 3.24, 4 Er 3.24, 4 In 3.24
In 0.5000 0.0000 0.5000  4 Hg 3.24, 4 Er 3.24, 4 In 3.24
Hg 0.5000 0.5000 0.0000  8 In 3.24, 4 Er 3.24



Which one sits at the top of the stability order? run y does.